[1]
16
Lattice="10.584 0.000 0.000 0.000 10.735 0.102 -5.292 -5.289 7.486" Properties=species:S:1:pos:R:3 comment="Cs4K3BaI8 PBE-GGA relaxed" m_tot_mub_per_cell=0.00 crystal_system=trigonal dft_energy_ev_per_fu=-44.4 pbc="T T T"
Cs 5.292 0.000 0.000
Cs 2.646 -2.644 3.743
Cs 0.000 0.000 0.000
Cs -2.646 -2.644 3.743
K 5.292 5.367 0.051
K 2.646 2.723 3.794
K -2.646 2.723 3.794
Ba 0.000 5.367 0.051
I -2.707 2.521 7.434
I 0.000 5.224 3.606
I 0.000 0.221 3.899
I 2.707 2.521 7.434
I 2.585 2.925 0.153
I 5.292 5.225 3.689
I 5.292 0.222 3.982
I 7.999 2.925 0.153

=====

[2]
7
Lattice="6.735 0.000 0.000 0.000 6.735 0.000 -3.367 -3.367 9.528" Properties=species:S:1:pos:R:3 comment="CsKBaI4 PBE-GGA relaxed" m_tot_mub_per_cell=0.00 crystal_system=tetragonal dft_energy_ev_per_fu=-20.9 pbc="T T T"
Cs 3.367 3.367 2.580
K 0.000 0.000 6.885
Ba 0.000 0.000 0.065
I 3.367 0.000 9.441
I 0.000 3.367 9.441
I 3.367 3.367 6.229
I 0.000 0.000 3.470

=====

[3]
20
Lattice="-8.215 -3.152 -1.952 3.239 -9.066 1.008 -3.150 0.295 12.782" Properties=species:S:1:pos:R:3 comment="Cs2BaLaI6 PBE-GGA relaxed" m_tot_mub_per_cell=2.15 crystal_system=orthorhombic dft_energy_ev_per_fu=-32.7 pbc="T T T"
Cs -2.142 -8.830 2.467
Cs -1.597 -1.543 9.215
Cs -3.996 -8.656 9.989
Cs -0.301 -1.665 3.956
Ba 0.751 -6.363 7.115
Ba -3.195 -4.131 -0.692
La -4.966 -3.435 5.638
La 2.523 -7.060 0.785
I -4.194 -3.517 2.523
I -5.730 -3.373 8.755
I 1.751 -6.977 3.900
I 0.137 -6.826 10.449
I -0.503 -9.542 6.879
I -4.515 -11.082 5.926
I -2.105 -4.654 6.371
I -6.371 -6.291 5.358
I -4.288 -7.356 -0.887
I -0.339 -5.840 0.051
I -1.941 -0.952 -0.456
I -6.144 -2.565 -1.455

=====

[4]
18
Lattice="-0.011 8.544 1.883 -2.989 -5.773 5.854 14.871 -1.358 6.254" Properties=species:S:1:pos:R:3 comment="CsBaLaI6 PBE-GGA relaxed" m_tot_mub_per_cell=0.00 crystal_system=trigonal dft_energy_ev_per_fu=-31.6 pbc="T T T"
Cs 0.000 0.000 0.000
Cs 7.435 -0.679 3.127
Ba 1.721 -1.341 6.094
Ba 10.149 2.753 7.897
La 2.714 3.432 4.770
La 9.156 -2.020 9.221
I 0.159 1.730 5.639
I 0.911 6.064 4.792
I 6.517 -3.407 10.358
I 10.959 -4.652 9.199
I 4.350 0.716 5.126
I 3.587 4.291 7.716
I 9.947 -1.560 12.278
I 5.353 4.818 3.633
I 8.283 -2.879 6.275
I 1.923 2.972 1.713
I 7.520 0.696 8.865
I 11.711 -0.318 8.352

=====

[5]
12
Lattice="8.069 -0.035 -0.004 0.009 7.796 -0.005 0.009 0.017 10.749" Properties=species:S:1:pos:R:3 comment="CsBa2LaI8 PBE-GGA relaxed" m_tot_mub_per_cell=0.00 crystal_system=triclinic dft_energy_ev_per_fu=-41.5 pbc="T T T"
Cs 0.004 0.008 5.375
Ba 4.045 3.892 8.072
Ba 4.041 3.886 2.669
La 0.000 0.000 0.000
I 1.222 5.918 2.233
I 5.434 5.881 10.740
I 6.854 1.845 2.231
I 6.864 1.859 8.507
I 2.652 1.897 0.000
I 1.233 5.932 8.509
I 4.913 5.789 5.367
I 3.173 1.988 5.373

=====

[6]
14
Lattice="-1.237 5.616 -5.578 -4.739 -5.215 -4.199 -7.504 0.853 7.409" Properties=species:S:1:pos:R:3 comment="CsBaLiI4 PBE-GGA relaxed" m_tot_mub_per_cell=0.00 crystal_system=monoclinic dft_energy_ev_per_fu=-21.8 pbc="T T T"
Cs -11.504 1.041 -0.328
Cs -1.976 0.214 -2.041
Ba -7.860 0.803 -4.145
Ba -5.619 0.451 1.776
Li -6.201 -2.390 -2.051
Li -7.278 3.644 -0.318
I -7.827 -1.942 3.167
I -3.322 5.761 -3.471
I -5.653 3.196 -5.536
I -10.158 -4.507 1.102
I -5.178 -1.436 -4.391
I -8.302 2.690 2.022
I -8.422 -1.018 -1.248
I -5.057 2.273 -1.121

=====

[7]
20
Lattice="10.953 -0.371 -0.516 -2.999 10.541 -0.516 -2.999 -3.835 9.832" Properties=species:S:1:pos:R:3 comment="CsBa3Li4I12 PBE-GGA relaxed" m_tot_mub_per_cell=1.07 crystal_system=trigonal dft_energy_ev_per_fu=-59.7 pbc="T T T"
Cs 0.000 0.000 0.000
Ba 4.628 4.575 -0.516
Ba 3.325 -2.265 5.141
Ba -2.999 4.024 4.175
Li 8.721 -1.716 4.400
Li -3.767 1.617 9.031
Li 2.477 9.600 -0.231
Li 2.477 3.167 4.400
I 2.477 0.995 5.964
I 8.042 4.549 0.273
I -3.088 7.519 4.400
I 2.477 -2.566 8.527
I 0.293 9.234 1.309
I -1.710 -0.123 9.172
I 8.891 0.445 2.795
I 4.661 8.024 -0.372
I -3.937 3.825 7.491
I 6.664 -2.402 6.005
I 4.585 3.691 2.836
I 0.369 4.816 4.400

=====

[8]
15
Lattice="-1.649 3.853 8.879 -7.527 -3.059 -5.499 6.226 -7.742 4.516" Properties=species:S:1:pos:R:3 comment="Cs3Ba3LiI8 PBE-GGA relaxed" m_tot_mub_per_cell=0.01 crystal_system=monoclinic dft_energy_ev_per_fu=-44.0 pbc="T T T"
Cs 0.000 0.000 0.000
Cs -3.764 -1.530 -2.749
Cs -4.588 0.397 1.690
Ba 2.289 -1.944 6.697
Ba -1.475 -3.474 3.948
Ba -0.650 -5.401 -0.491
Li 3.113 -3.871 2.258
I -2.606 -2.668 0.674
I -0.344 -4.280 7.222
I -3.683 -1.037 5.195
I 0.733 -5.911 2.701
I 0.446 0.644 8.206
I -3.396 -7.592 -0.310
I 1.350 -1.467 3.342
I -4.299 -5.481 4.554

=====

[9]
9
Lattice="-0.030 -1.101 -5.684 5.771 -0.464 0.060 -0.901 -10.938 2.123" Properties=species:S:1:pos:R:3 comment="CsBaLi2I5 PBE-GGA relaxed" m_tot_mub_per_cell=0.00 crystal_system=tetragonal dft_energy_ev_per_fu=-27.5 pbc="T T T"
Cs -0.450 -5.469 1.062
Ba 0.000 0.000 0.000
Li 2.643 -3.549 -2.275
Li 2.197 -8.953 -1.226
I 2.712 -2.337 0.439
I -0.188 -2.656 -2.433
I 2.158 -9.064 1.744
I -0.742 -9.383 -1.127
I 2.420 -6.251 -1.750

=====

[10]
15
Lattice="8.635 0.000 0.000 -4.318 7.479 0.000 0.000 0.000 11.069" Properties=species:S:1:pos:R:3 comment="Cs3BaMg2I9 PBE-GGA relaxed" m_tot_mub_per_cell=0.00 crystal_system=trigonal dft_energy_ev_per_fu=-41.9 pbc="T T T"
Cs 0.000 4.986 7.850
Cs 0.000 0.000 0.000
Cs 4.318 2.493 3.219
Ba 0.000 0.000 5.534
Mg 0.000 4.986 1.733
Mg 4.318 2.493 9.335
I 6.376 1.305 7.681
I 4.318 4.869 7.681
I 2.260 1.305 7.681
I 2.058 6.174 3.387
I 0.000 2.609 3.387
I -2.058 6.174 3.387
I 4.318 0.000 0.000
I -2.159 3.739 0.000
I 2.159 3.739 0.000

=====

[11]
20
Lattice="-7.174 -4.690 1.885 -0.639 -2.548 -8.771 7.221 -10.080 2.402" Properties=species:S:1:pos:R:3 comment="Cs2BaMgI6 PBE-GGA relaxed" m_tot_mub_per_cell=0.00 crystal_system=orthorhombic dft_energy_ev_per_fu=-28.9 pbc="T T T"
Cs -2.444 -6.645 -5.404
Cs 5.119 -7.882 -0.128
Cs 1.486 -12.131 -4.097
Cs 1.828 -3.288 -1.223
Ba 3.146 -6.892 -5.174
Ba -3.762 -3.041 -1.453
Mg -0.125 -7.977 0.105
Mg -0.491 -1.956 -6.732
I -1.804 -5.620 -0.419
I 1.559 -10.314 0.700
I 1.188 -4.313 -6.208
I 5.046 -9.699 -4.925
I 1.058 -8.834 -7.047
I -2.287 -11.021 -6.168
I 1.464 -7.407 -2.280
I -1.996 -9.669 -1.371
I -5.794 -4.954 -3.371
I -2.080 -2.526 -4.347
I -1.674 -1.099 0.420
I -5.503 -3.602 1.427

=====

[12]
10
Lattice="8.932 0.000 0.000 0.000 8.932 0.000 4.466 4.466 6.315" Properties=species:S:1:pos:R:3 comment="Cs2BaMgI6 PBE-GGA relaxed" m_tot_mub_per_cell=0.00 crystal_system=cubic dft_energy_ev_per_fu=-28.9 pbc="T T T"
Cs 8.932 4.466 3.158
Cs 4.466 8.932 3.158
I 4.466 4.466 2.935
I 8.932 8.932 3.380
I 2.390 2.390 0.000
I 6.542 6.542 0.000
I 6.542 2.390 0.000
I 2.390 6.542 0.000
Mg 4.466 4.466 0.000
Ba 0.000 0.000 0.000

=====

[13]
12
Lattice="-7.573 0.252 1.238 3.826 -6.590 0.940 1.898 2.679 11.061" Properties=species:S:1:pos:R:3 comment="CsBaMn2I8 PBE-GGA relaxed" m_tot_mub_per_cell=9.00 crystal_system=trigonal dft_energy_ev_per_fu=-44.2 pbc="T T T"
Cs 0.000 0.000 0.000
Ba 0.949 1.339 5.530
Mn -3.326 -1.396 3.748
Mn 1.477 -2.262 9.491
I 1.906 -1.656 11.992
I -0.694 -1.395 4.125
I -0.545 -5.578 5.113
I -3.755 -2.002 1.247
I -1.304 1.920 8.126
I -1.155 -2.263 9.113
I -4.902 -0.154 9.245
I 3.053 -3.504 3.993

=====

[14]
10
Lattice="-0.018 7.929 -3.698 -6.617 2.407 5.194 0.731 7.153 4.985" Properties=species:S:1:pos:R:3 comment="Cs2BaMoI6 PBE-GGA relaxed" m_tot_mub_per_cell=2.00 crystal_system=cubic dft_energy_ev_per_fu=-33.7 pbc="T T T"
Cs -1.302 10.125 1.017
Cs -4.602 7.364 5.463
I -1.471 6.074 2.680
I -4.433 11.416 3.800
I -1.804 2.811 0.407
I -4.830 7.526 1.089
I -1.812 6.428 -1.280
I -4.822 3.909 2.776
Mo -3.317 5.168 0.748
Ba 0.000 0.000 0.000

=====

[15]
10
Lattice="8.780 0.000 0.000 0.000 8.780 0.000 4.390 4.390 5.911" Properties=species:S:1:pos:R:3 comment="Cs2BaI6N PBE-GGA relaxed" m_tot_mub_per_cell=1.00 crystal_system=tetragonal dft_energy_ev_per_fu=-27.0 pbc="T T T"
Cs 8.780 4.390 2.956
Cs 4.390 8.780 2.956
I 4.390 4.390 2.520
I 8.780 8.780 3.392
I 2.377 2.377 0.000
I 6.403 6.403 0.000
I 6.403 2.377 0.000
I 2.377 6.403 0.000
Ba 0.000 0.000 0.000
N 4.390 4.390 0.000

=====

[16]
18
Lattice="5.227 0.000 0.000 -2.613 11.035 0.000 0.000 0.000 16.205" Properties=species:S:1:pos:R:3 comment="Cs2BaNaI5 PBE-GGA relaxed" m_tot_mub_per_cell=0.04 crystal_system=orthorhombic dft_energy_ev_per_fu=-26.7 pbc="T T T"
Cs 2.613 8.227 13.008
Cs 0.000 2.354 11.148
Cs 0.000 2.808 4.905
Cs 2.613 8.681 3.046
Ba 2.613 6.432 8.265
Ba 0.000 4.603 0.162
Na 2.613 0.238 15.685
Na 0.000 10.797 7.582
I 0.000 8.073 0.015
I 2.613 4.314 14.078
I 0.000 11.030 12.666
I 0.000 6.266 10.598
I 2.613 9.841 8.917
I 2.613 2.962 8.117
I 0.000 6.721 5.975
I 2.613 0.005 4.563
I 2.613 4.768 2.496
I 0.000 1.194 0.815

=====

[17]
14
Lattice="-2.265 -7.680 -3.039 7.156 -0.334 -4.489 5.588 -1.372 9.009" Properties=species:S:1:pos:R:3 comment="CsBaNaI4 PBE-GGA relaxed" m_tot_mub_per_cell=0.00 crystal_system=monoclinic dft_energy_ev_per_fu=-21.0 pbc="T T T"
Cs 8.965 -7.324 2.895
Cs 1.514 -2.062 -1.414
Ba 6.085 -6.885 -1.730
Ba 4.394 -2.501 3.210
Na 6.605 -2.572 -1.222
Na 3.875 -6.814 2.703
I 7.590 -1.276 4.122
I -0.589 -7.948 -0.459
I 2.889 -8.110 -2.641
I 11.068 -1.439 1.940
I 5.155 -3.966 -3.429
I 5.324 -5.420 4.909
I 7.610 -4.764 0.544
I 2.869 -4.622 0.937

=====

[18]
15
Lattice="9.916 0.000 0.000 -4.958 8.579 -0.029 0.000 -5.679 9.315" Properties=species:S:1:pos:R:3 comment="Cs3Ba3NaI8 PBE-GGA relaxed" m_tot_mub_per_cell=0.00 crystal_system=monoclinic dft_energy_ev_per_fu=-43.7 pbc="T T T"
Cs 0.000 0.000 0.000
Cs -2.479 4.289 -0.014
Cs 2.479 4.289 -0.014
Ba 4.958 -2.840 4.657
Ba 2.479 1.450 4.643
Ba -2.479 1.450 4.643
Na 0.000 -2.840 4.657
I 0.000 2.870 2.520
I 4.958 0.030 6.767
I 4.958 3.018 2.700
I 0.000 -0.119 6.586
I 7.563 -1.491 2.714
I -2.605 4.391 6.572
I 2.352 -1.491 2.714
I 2.605 4.391 6.572

=====

[19]
12
Lattice="8.030 -0.031 -0.004 0.010 7.756 -0.005 0.008 0.017 10.733" Properties=species:S:1:pos:R:3 comment="CsBa2NdI8 PBE-GGA relaxed" m_tot_mub_per_cell=0.00 crystal_system=triclinic dft_energy_ev_per_fu=-40.9 pbc="T T T"
Cs 0.004 0.008 5.367
Ba 4.027 3.875 8.073
Ba 4.022 3.868 2.651
Nd 0.000 0.000 0.000
I 1.217 5.915 2.206
I 5.432 5.881 10.725
I 6.821 1.813 2.204
I 6.831 1.827 8.519
I 2.616 1.862 0.000
I 1.227 5.929 8.521
I 4.884 5.763 5.359
I 3.164 1.980 5.365